*P*
The following is a GGA-PBE calculation of a relaxed structure of TiOsRh2, from the Alexandria database.

Output
spin magnetization = 0.00 μB per cell
symmetry = P4/mmm (123)

Lattice parameters (Å, degrees): 3.8461 3.8709 3.8709 90.00 90.00 90.00
Last column: nearest neighbours and their distance in Å.
Atoms (fractional coordinates):
Ti1 0.5000 0.5000 0.5000  8 Rh 2.73, 4 Os 2.74
Rh1 0.0000 0.5000 0.0000  4 Os 2.73, 4 Ti 2.73, 4 Rh 2.74
Os1 0.5000 0.0000 0.0000  8 Rh 2.73, 4 Ti 2.74
Rh2 0.0000 0.0000 0.5000  4 Os 2.73, 4 Ti 2.73, 4 Rh 2.74

*Q*
The following is a GGA-PBE calculation of a relaxed structure of TiOsRh2, from the Alexandria database.

Output
spin magnetization = 1.65 μB per cell
symmetry = Fm-3m (225)

Lattice parameters (Å, degrees): 4.3866 4.3866 4.3866 60.00 60.00 60.00
Last column: nearest neighbours and their distance in Å.
Atoms (fractional coordinates):
Ti1 0.0000 0.0000 0.0000  8 Rh 2.69
Rh1 0.2500 0.2500 0.2500  4 Os 2.69, 4 Ti 2.69
Rh2 0.7500 0.7500 0.7500  4 Os 2.69, 4 Ti 2.69
Os1 0.5000 0.5000 0.5000  8 Rh 2.69

Q: Which of them is the most stable? A: *P*.

*P*
The following is a GGA-PBE calculation of a relaxed structure of TiOsRh3, from the Alexandria database.

Output
spin magnetization = 2.49 μB per cell
symmetry = Pm-3m (221)

Lattice parameters (Å, degrees): 4.4503 4.4503 4.4503 90.00 90.00 90.00
Last column: nearest neighbours and their distance in Å.
Atoms (fractional coordinates):
Ti1 0.0000 0.0000 0.0000  6 Rh 2.23
Os1 0.5000 0.5000 0.5000  12 Rh 3.15
Rh1 0.0000 0.0000 0.5000  2 Ti 2.23
Rh2 0.0000 0.5000 0.0000  2 Ti 2.23
Rh3 0.5000 0.0000 0.0000  2 Ti 2.23

*Q*
The following is a GGA-PBE calculation of a relaxed structure of TiOsRh3, from the Alexandria database.

Output
spin magnetization = 0.00 μB per cell
symmetry = Pm-3m (221)

Lattice parameters (Å, degrees): 4.6733 4.6733 4.6733 90.00 90.00 90.00
Last column: nearest neighbours and their distance in Å.
Atoms (fractional coordinates):
Rh1 0.0000 0.5000 0.0000  2 Os 2.34
Ti1 0.5000 0.5000 0.5000  12 Rh 3.30
Rh2 0.0000 0.0000 0.5000  2 Os 2.34
Os1 0.0000 0.0000 0.0000  6 Rh 2.34
Rh3 0.5000 0.0000 0.0000  2 Os 2.34

Q: Which of them is the most stable? A: *P*.

*P*
The following is a GGA-PBE calculation of a relaxed structure of Ti4OsRh, from the Alexandria database.

Output
spin magnetization = 0.00 μB per cell
symmetry = C2/m (12)

Lattice parameters (Å, degrees): 4.2884 4.2857 7.3499 73.15 73.04 59.98
Last column: nearest neighbours and their distance in Å.
Atoms (fractional coordinates):
Ti1 0.1240 0.1239 0.6281  1 Os 2.57, 3 Rh 2.63
Ti2 0.3739 0.3739 0.8783  3 Os 2.61-2.62, 1 Rh 2.62
Os1 0.0000 0.0000 0.0000  8 Ti 2.57-2.62
Rh1 0.5000 0.5000 0.5000  8 Ti 2.62-2.63
Ti3 0.8760 0.8761 0.3719  1 Os 2.57, 3 Rh 2.63
Ti4 0.6261 0.6261 0.1217  3 Os 2.61-2.62, 1 Rh 2.62

*Q*
The following is a GGA-PBE calculation of a relaxed structure of Ti4OsRh, from the Alexandria database.

Output
spin magnetization = 0.00 μB per cell
symmetry = C2/m (12)

Lattice parameters (Å, degrees): 3.0914 5.3109 6.8765 112.36 77.01 73.08
Last column: nearest neighbours and their distance in Å.
Atoms (fractional coordinates):
Ti1 0.3272 0.0127 0.3329  2 Os 2.67, 2 Rh 2.69, 4 Ti 2.77-2.80
Os1 0.5000 0.5000 0.5000  8 Ti 2.66-2.67
Ti2 0.1670 0.4924 0.1736  2 Os 2.66, 2 Rh 2.69, 4 Ti 2.80-2.82
Ti3 0.6728 0.9873 0.6671  2 Os 2.67, 2 Rh 2.69, 4 Ti 2.77-2.80
Ti4 0.8330 0.5075 0.8264  2 Os 2.66, 2 Rh 2.69, 4 Ti 2.80-2.82
Rh1 0.0000 0.0000 0.0000  8 Ti 2.69

Q: Which of them is the most stable? A: *Q*.